1:
SrBe2Br | PBE | relaxed

Mass density in g/cm³: 3.20
Calculated volume in Å³ per cell: 385

Unit cell a=7.2742 b=7.2742 c=7.2742 alpha=90.00 beta=90.00 gamma=90.00
Last column: nearest neighbours and their distance in Å.
Space group Fm-3m (No. 225)
One atom of each set of equivalent atoms:
Sr: 0.0000 0.0000 0.0000 [4 per cell]  8 Be 3.15
Be: 0.2500 0.2500 0.2500 [8 per cell]  4 Br 3.15, 4 Sr 3.15
Br: 0.0000 0.0000 0.5000 [4 per cell]  8 Be 3.15

=====

2:
SrBe2Br | PBE | relaxed

Mass density in g/cm³: 3.22
Calculated volume in Å³ per cell: 96

Unit cell a=4.3001 b=4.3504 c=5.1208 alpha=90.00 beta=90.00 gamma=90.00
Last column: nearest neighbours and their distance in Å.
Space group Pmmm (No. 47)
One atom of each set of equivalent atoms:
Sr: 0.0000 0.0000 0.0000 [1 per cell]  4 Br 3.06
Be: 0.5000 0.2508 0.5000 [2 per cell]  2 Be 2.17-2.18
Br: 0.5000 0.5000 0.0000 [1 per cell]  4 Be 2.78, 4 Sr 3.06

=====

Compare the structures above. Which one is the least stable? 1 is.